Entry 1:
Ba2CdIn6Sn | PBE | relaxed

## Properties
- symmetry = No. 166

a b c (Å): 6.384 6.384 20.169
angles (deg): 80.89 80.89 60.00
Fractional coordinates of all 20 atoms:
Ba  0.903  0.903  0.292
Ba  0.097  0.097  0.708
Ba  0.680  0.680  0.961
Ba  0.320  0.320  0.039
Cd  0.000  0.000  0.000
Cd  0.500  0.500  0.500
In  0.886  0.364  0.386
In  0.364  0.886  0.386
In  0.364  0.364  0.386
In  0.114  0.636  0.614
In  0.636  0.114  0.614
In  0.636  0.636  0.614
In  0.713  0.209  0.869
In  0.209  0.713  0.869
In  0.209  0.209  0.869
In  0.287  0.791  0.131
In  0.791  0.287  0.131
In  0.791  0.791  0.131
Sn  0.580  0.580  0.260
Sn  0.420  0.420  0.740

=====

Entry 2:
Sm2DyEr | PBE | relaxed

## Properties
- symmetry = No. 123

a b c (Å): 5.033 5.067 5.067
angles (deg): 90.00 90.00 90.00
Fractional coordinates of all 4 atoms:
Dy  0.500  0.000  0.000
Sm  0.000  0.000  0.500
Sm  0.000  0.500  0.000
Er  0.500  0.500  0.500

=====

Entry 3:
NaIn3Ga | PBE | relaxed

## Properties
- symmetry = No. 107

a b c (Å): 4.700 4.700 7.006
angles (deg): 109.60 109.60 90.00
Fractional coordinates of all 5 atoms:
Na  0.024  0.024  0.048
In  0.260  0.760  0.521
In  0.760  0.260  0.521
In  0.415  0.415  0.830
Ga  0.630  0.630  0.261

=====

Number 1: raw total energy -26.758 eV per formula unit, DFT formation energy -0.156 eV/atom. Number 2: raw total energy -18.520 eV per formula unit, DFT formation energy 0.021 eV/atom. Number 3: raw total energy -12.877 eV per formula unit, DFT formation energy -0.063 eV/atom.